Entry 1:
Computed, not measured: a geometry-optimized La2DyCoC2 structure at the GGA-PBE level of DFT.

## Properties
* formation energy: -2.4 kJ per mole of atoms
* M_tot: 1.6 μB per formula unit

Cell lengths 3.7655, 5.6809, 11.3832 Å; angles 90.00, 90.00, 90.00 degrees
Site moments in Bohr magnetons follow the coordinates.
Fractional coordinates of all 12 atoms:
C (0.0000, 0.7404, 0.8984)  0.05
C (0.0000, 0.2596, 0.1016)  0.05
C (0.5000, 0.7596, 0.3984)  0.05
C (0.5000, 0.2404, 0.6016)  0.05
La (0.5000, 0.0253, 0.2022)  0.07
La (0.5000, 0.9747, 0.7978)  0.07
La (0.0000, 0.4747, 0.7022)  0.07
La (0.0000, 0.5253, 0.2978)  0.07
Dy (0.5000, 0.5000, 0.0000)  0.21
Dy (0.0000, 0.0000, 0.5000)  0.21
Co (0.5000, 0.5000, 0.5000)  0.72
Co (0.0000, 0.0000, 0.0000)  0.72

Entry 2:
Computed, not measured: a geometry-optimized LiCdSe structure at the GGA-PBE level of DFT.

## Properties
* energy relative to the elements, uncorrected: -344 meV per atom
* M_tot: 0.0 μB per formula unit

Cell lengths 4.7076, 4.7076, 4.7076 Å; angles 60.00, 60.00, 60.00 degrees
Fractional coordinates of all 3 atoms:
Se (0.5000, 0.5000, 0.5000)
Cd (0.7500, 0.7500, 0.7500)
Li (0.0000, 0.0000, 0.0000)

Quick rundown of E, same order as above: -6.693; -2.449 eV per atom